KNaZr2Sb after structural relaxation. Source: the Alexandria database, functional PBE.

a = 5.322 Å, b = 5.093 Å, c = 5.322 Å
α = 90.00°, β = 90.00°, γ = 90.00°
Site moments in Bohr magnetons follow the coordinates.
Fractional positions:
Sb (0.500, 0.500, 0.500)  -0.03
K (0.000, 0.500, 0.000)  0.04
Zr (0.000, 0.000, 0.500)  0.41
Zr (0.500, 0.000, 0.000)  0.46
Na (0.000, 0.000, 0.000)  0.02

Distance to the lowest polymorph of the same formula: 0.608 eV/atom
Formation energy (no corrections): 1228 meV per atom